First-principles (PBE) data for a relaxed structure of Tm4Pb2N, as listed in Alexandria via LeMat-Bulk.

Output
For the density of states at the Fermi level, the calculation gives 0.46 states/eV per atom. Its crystal system is monoclinic. For the size of the total moment, the calculation gives 0.00 μB per formula unit. As for the space-group type: P2_1/m. Its calculated total energy is -39.2 eV per formula unit. As for the energy above the most stable polymorph in this dataset: 54 meV per atom. The raw formation energy is -5.5 eV per formula unit.

Unit cell a=6.4467 b=6.6835 c=9.0850 alpha=90.00 beta=110.51 gamma=90.00
Positions (direct):
Tm  0.1849  0.2500  0.0436
Tm  0.2455  0.0034  0.7161
Tm  0.2455  0.4966  0.7161
Tm  0.2621  0.7500  0.3445
Tm  0.7379  0.2500  0.6555
Tm  0.7545  0.5034  0.2839
Tm  0.7545  0.9966  0.2839
Tm  0.8151  0.7500  0.9564
Pb  0.2331  0.2500  0.4054
Pb  0.3321  0.7500  0.0289
Pb  0.6679  0.2500  0.9711
Pb  0.7669  0.7500  0.5946
N  0.0892  0.2500  0.7892
N  0.9108  0.7500  0.2108